Compound: CaScIr2
Source: Alexandria via LeMat-Bulk
Functional: PBE-GGA
Structure: relaxed

POSCAR file:
```
CaScIr2
1.0
-3.383 -1.055 8.146
-5.492 -2.654 6.457
-2.836 -4.051 7.379
Ir Ca Sc
2 1 1
Direct
0.506 0.506 0.506
0.994 0.994 0.994
0.750 0.750 0.750
0.250 0.250 0.250
```

Properties
- ΔH_f (0 K): -218 meV/atom
- Total magnetization: 0.00 μB/f.u.

=====

Compound: Ca2ScIr
Source: Alexandria via LeMat-Bulk
Functional: PBE-GGA
Structure: relaxed

POSCAR file:
```
Ca2ScIr
1.0
8.531 0.043 -0.009
6.780 5.178 0.009
-7.438 -3.250 2.627
Ir Sc Ca
1 1 2
Direct
0.750 0.250 0.500
0.250 0.750 0.500
0.907 0.907 0.000
0.593 0.593 0.000
```

Properties
- Offset from the most stable computed form: 4.4 kJ per mole of atoms
- ΔH_f (0 K): -299 meV/atom
- Total magnetization: 0.00 μB/f.u.

=====

Compound: CaScIr2
Source: Alexandria via LeMat-Bulk
Functional: PBE-GGA
Structure: relaxed

POSCAR file:
```
CaScIr2
1.0
6.141 0.001 0.000
3.615 4.964 0.000
-4.342 -3.535 2.522
Ir Sc Ca
2 1 1
Direct
0.966 0.966 0.000
0.769 0.269 0.500
0.534 0.534 0.000
0.231 0.731 0.500
```

Properties
- ΔH_f (0 K): -380 meV/atom
- Total magnetization: 0.00 μB/f.u.

=====

Compound: CaScIr2
Source: Alexandria via LeMat-Bulk
Functional: PBE-GGA
Structure: relaxed

POSCAR file:
```
CaScIr2
1.0
-2.942 1.290 0.380
0.259 -0.352 3.205
2.867 6.401 0.472
Ca Sc Ir
1 1 2
Direct
0.500 0.500 0.750
0.500 0.500 0.250
0.000 0.000 0.030
0.000 0.000 0.470
```

Properties
- ΔH_f (0 K): -599 meV/atom
- Total magnetization: 0.00 μB/f.u.

=====

Compound: Ca2ScIr
Source: Alexandria via LeMat-Bulk
Functional: PBE-GGA
Structure: relaxed

POSCAR file:
```
Ca2ScIr
1.0
-1.916 -3.439 4.153
4.929 -1.752 -2.575
2.117 0.499 2.479
Ca Ir Sc
2 1 1
Direct
0.000 0.000 0.000
0.500 0.000 0.500
0.000 0.500 0.500
0.500 0.500 0.000
```

Properties
- Offset from the most stable computed form: 49.5 kJ per mole of atoms
- ΔH_f (0 K): 169 meV/atom
- Total magnetization: 0.00 μB/f.u.

=====

Compound: Ca2ScIr
Source: Alexandria via LeMat-Bulk
Functional: PBE-GGA
Structure: relaxed

POSCAR file:
```
Ca2ScIr
1.0
-1.321 4.064 -3.597
-2.791 -0.017 4.838
2.351 1.970 1.363
Ca Ir Sc
2 1 1
Direct
0.000 0.000 0.000
0.500 0.500 0.000
0.500 0.000 0.500
0.000 0.500 0.500
```

Properties
- Offset from the most stable computed form: 49.5 kJ per mole of atoms
- ΔH_f (0 K): 169 meV/atom
- Total magnetization: 0.00 μB/f.u.